1.
Here is a relaxed CeErGaGe crystal from the Alexandria database. Energies are from PBE-GGA.

Cell lengths 4.027, 4.349, 10.934 Å; angles 90.00, 90.00, 90.00 degrees
Space group Amm2 (No. 38)
One atom of each set of equivalent atoms:
Ce: 0.000 0.000 0.000
Er: 0.500 0.000 0.281
Ga: 0.500 0.000 0.567
Ge: 0.000 0.000 0.722

calculated volume	95.7	Å³/f.u.
formation energy from the elements	-15.6	kcal/mol of atoms
polymorph energy (0 for the lowest one)	0.000	eV per atom


2.
Here is a relaxed Tl7InHg6 crystal from the Alexandria database. Energies are from PBE-GGA.

Cell lengths 7.839, 18.642, 11.904 Å; angles 90.00, 90.00, 90.00 degrees
Space group Ibam (No. 72)
One atom of each set of equivalent atoms:
Tl: 0.000 0.000 0.250
Tl: 0.143 0.290 0.143
Tl: 0.203 0.461 0.000
In: 0.000 0.500 0.250
Hg: 0.027 0.161 0.500
Hg: 0.221 0.386 0.362

calculated volume	434.9	Å³/f.u.
formation energy from the elements	0.8	kcal/mol of atoms


3.
Here is a relaxed CuReW2 crystal from the Alexandria database. Energies are from PBE-GGA.

Cell lengths 2.666, 4.360, 5.311 Å; angles 90.00, 102.17, 90.00 degrees
Space group P2/m (No. 10)
One atom of each set of equivalent atoms:
Cu: 0.000 0.000 0.000
Re: 0.500 0.000 0.500
W: 0.255 0.500 0.752

calculated volume	60.3	Å³/f.u.
formation energy from the elements	5.7	kcal/mol of atoms
polymorph energy (0 for the lowest one)	0.022	eV per atom


4.
Here is a relaxed Sr4LiY3S8 crystal from the Alexandria database. Energies are from PBE-GGA.

Cell lengths 8.1228, 8.1228, 20.1593 Å; angles 90.00, 90.00, 120.00 degrees
Space group R-3m (No. 166, hexagonal axes)
One atom of each set of equivalent atoms:
Sr: 0.0000 0.0000 0.0000
Sr: 0.0000 0.5000 0.0000
Li: 0.0000 0.0000 0.5000
Y: 0.0000 0.5000 0.5000
S: 0.0000 0.0000 0.2432
S: 0.0022 0.5011 0.7575

calculated volume	384.0	Å³/f.u.
energy relative to the elements, uncorrected	-2.010	eV/atom


5.
Here is a relaxed K2LiSc crystal from the Alexandria database. Energies are from PBE-GGA.

Cell lengths 6.093, 6.093, 8.848 Å; angles 90.00, 90.00, 90.00 degrees
Space group I-4m2 (No. 119)
One atom of each set of equivalent atoms:
K: 0.000 0.000 0.000
K: 0.000 0.500 0.250
Li: 0.000 0.500 0.750
Sc: 0.000 0.000 0.500

calculated volume	164.3	Å³/f.u.
formation energy from the elements	14.3	kcal/mol of atoms


6.
Here is a relaxed Y8BTe3Se3 crystal from the Alexandria database. Energies are from PBE-GGA.

Cell lengths 8.2625, 8.2625, 21.2486 Å; angles 90.00, 90.00, 120.00 degrees
Space group R-3m (No. 166, hexagonal axes)
One atom of each set of equivalent atoms:
Y: 0.0000 0.0000 0.2387
Y: 0.0338 0.5169 0.2344
B: 0.0000 0.0000 0.5000
Te: 0.0000 0.5000 0.0000
Se: 0.0000 0.5000 0.5000

calculated volume	418.8	Å³/f.u.
energy relative to the elements, uncorrected	-1.291	eV/atom